Here is a relaxed LiAs2H3O7 crystal from Alexandria. Energies are from GGA-PBEsol.

Raw total energy (eV for the cell shown): -151.5
Volume (Å³ per cell): 261.5

Lattice parameters (Å, degrees): 7.273 7.273 5.628 109.91 109.91 77.48
Sites, in units of the cell vectors:
Li 0.156 0.844 0.000
Li 0.844 0.156 0.000
As 0.273 0.273 0.040
As 0.342 0.658 0.500
As 0.658 0.342 0.500
As 0.727 0.727 0.960
H 0.005 0.719 0.482
H 0.281 0.995 0.518
H 0.315 0.315 0.658
H 0.685 0.685 0.342
H 0.719 0.005 0.482
H 0.995 0.281 0.518
O 0.133 0.133 0.064
O 0.134 0.703 0.619
O 0.213 0.528 0.148
O 0.232 0.232 0.700
O 0.297 0.866 0.381
O 0.414 0.414 0.567
O 0.472 0.787 0.852
O 0.528 0.213 0.148
O 0.586 0.586 0.433
O 0.703 0.134 0.619
O 0.768 0.768 0.300
O 0.787 0.472 0.852
O 0.866 0.297 0.381
O 0.867 0.867 0.936